Record 1
! TaVGa2 | Alexandria via LeMat-Bulk | PBE | relaxed; values from VASP
! DFT total energy ... -26.72 eV per formula unit
! N(E_F) ... 3.945 states/eV/cell
! SG ... Fm-3m
! Total magnetic moment ... 1.3 μB/f.u.
&SYSTEM
  ibrav = 0, nat = 4, ntyp = 3
/
ATOMIC_SPECIES
Ta 180.95 Ta.upf
V 50.94 V.upf
Ga 69.72 Ga.upf
CELL_PARAMETERS angstrom
0.0000 3.1554 3.1554
3.1554 0.0000 3.1554
3.1554 3.1554 0.0000
ATOMIC_POSITIONS angstrom
Ta 0.0000 0.0000 0.0000
V 3.1554 3.1554 3.1554
Ga 1.5777 1.5777 1.5777
Ga 4.7332 4.7332 4.7332


Record 2
! Ta3VGa | Alexandria via LeMat-Bulk | PBE | relaxed; values from VASP
! DFT total energy ... -40.81 eV per formula unit
! N(E_F) ... 7.261 states/eV/cell
! SG ... Pm-3m
! Total magnetic moment ... 2.1 μB/f.u.
&SYSTEM
  ibrav = 0, nat = 5, ntyp = 3
/
ATOMIC_SPECIES
Ta 180.95 Ta.upf
V 50.94 V.upf
Ga 69.72 Ga.upf
CELL_PARAMETERS angstrom
4.7158 0.0000 0.0000
0.0000 4.7158 0.0000
0.0000 0.0000 4.7158
ATOMIC_POSITIONS angstrom
Ta 0.0000 0.0000 2.3579
Ta 0.0000 2.3579 0.0000
Ta 2.3579 0.0000 0.0000
V 2.3579 2.3579 2.3579
Ga 0.0000 0.0000 0.0000


Record 3
! TaV3Ga | Alexandria via LeMat-Bulk | PBE | relaxed; values from VASP
! DFT total energy ... -35.14 eV per formula unit
! N(E_F) ... 7.362 states/eV/cell
! SG ... Pm-3m
! Total magnetic moment ... 0.0 μB/f.u.
&SYSTEM
  ibrav = 0, nat = 5, ntyp = 3
/
ATOMIC_SPECIES
Ta 180.95 Ta.upf
V 50.94 V.upf
Ga 69.72 Ga.upf
CELL_PARAMETERS angstrom
4.6066 0.0000 0.0000
0.0000 4.6066 0.0000
0.0000 0.0000 4.6066
ATOMIC_POSITIONS angstrom
Ta 0.0000 0.0000 0.0000
V 0.0000 0.0000 2.3033
V 0.0000 2.3033 0.0000
V 2.3033 0.0000 0.0000
Ga 2.3033 2.3033 2.3033


Record 4
! TaV4Ga | Alexandria via LeMat-Bulk | PBE | relaxed; values from VASP
! DFT total energy ... -51.75 eV per formula unit
! N(E_F) ... 6.503 states/eV/cell
! SG ... Cmmm
! Total magnetic moment ... 0.0 μB/f.u.
&SYSTEM
  ibrav = 0, nat = 6, ntyp = 3
/
ATOMIC_SPECIES
Ta 180.95 Ta.upf
V 50.94 V.upf
Ga 69.72 Ga.upf
CELL_PARAMETERS angstrom
2.1847 -4.6163 0.0000
2.1847 4.6163 0.0000
0.0000 0.0000 4.3275
ATOMIC_POSITIONS angstrom
Ta 0.0000 0.0000 0.0000
V 2.1847 2.9600 2.1638
V 2.1847 1.6707 0.0000
V 2.1847 -1.6707 0.0000
V 2.1847 -2.9600 2.1638
Ga 2.1847 0.0000 2.1638


Record 5
! Ta6V5Ga | Alexandria via LeMat-Bulk | PBE | relaxed; values from VASP
! DFT total energy ... -119.77 eV per formula unit
! N(E_F) ... 17.571 states/eV/cell
! SG ... Immm
! Total magnetic moment ... 0.0 μB/f.u.
&SYSTEM
  ibrav = 0, nat = 12, ntyp = 3
/
ATOMIC_SPECIES
Ta 180.95 Ta.upf
V 50.94 V.upf
Ga 69.72 Ga.upf
CELL_PARAMETERS angstrom
-2.2374 3.2013 6.7199
2.2374 -3.2013 6.7199
2.2374 3.2013 -6.7199
ATOMIC_POSITIONS angstrom
Ta 2.2374 1.5680 -2.2809
Ta 0.0000 1.5150 0.0000
Ta 2.2374 1.5680 2.2809
Ta 0.0000 1.6333 4.4389
Ta 0.0000 4.8876 0.0000
Ta 0.0000 1.6333 9.0008
V 2.2374 0.0000 0.0000
V 0.0000 0.0000 2.2437
V 2.2374 0.0000 4.5129
V 0.0000 3.2013 2.2069
V 0.0000 0.0000 11.1960
Ga 0.0000 0.0000 6.7199


Record 6
! TaV4Ga | Alexandria via LeMat-Bulk | PBE | relaxed; values from VASP
! DFT total energy ... -49.94 eV per formula unit
! N(E_F) ... 7.871 states/eV/cell
! SG ... C2/m
! Total magnetic moment ... 0.0 μB/f.u.
&SYSTEM
  ibrav = 0, nat = 6, ntyp = 3
/
ATOMIC_SPECIES
Ta 180.95 Ta.upf
V 50.94 V.upf
Ga 69.72 Ga.upf
CELL_PARAMETERS angstrom
4.4926 -1.2904 0.0000
4.4926 1.2904 0.0000
-4.1503 0.0000 7.8377
ATOMIC_POSITIONS angstrom
Ta 0.0000 0.0000 0.0000
V 0.0074 0.0000 2.6930
V 2.3620 0.0000 1.2866
V 2.4728 0.0000 6.5511
V 4.8275 0.0000 5.1447
Ga 2.4174 0.0000 3.9189